## a
CuAg3F4: relaxed, PBE-GGA.

Volume ... 117 Å³/cell

Unit cell a=6.213 b=6.213 c=5.339 alpha=125.58 beta=125.58 gamma=90.00
Each line ends with the local moment (μB).
Sites, in units of the cell vectors:
Cu 0.000 0.000 0.000  0.29
Ag 0.500 0.500 0.000  0.01
Ag 0.750 0.250 0.500  0.00
Ag 0.250 0.750 0.500  0.00
F 0.275 0.275 0.097  0.02
F 0.822 0.822 0.097  0.02
F 0.178 0.725 0.903  0.02
F 0.725 0.178 0.903  0.02



## b
CuAg3F4: relaxed, PBE-GGA.

Volume ... 233 Å³/cell

Unit cell a=4.665 b=5.176 c=9.640 alpha=90.00 beta=90.00 gamma=90.00
Each line ends with the local moment (μB).
Sites, in units of the cell vectors:
Ag 0.571 0.690 0.000  0.00
Ag 0.062 0.674 0.257  0.00
Ag 0.562 0.326 0.243  0.00
Ag 0.071 0.310 0.500  0.00
Ag 0.562 0.326 0.757  0.00
Ag 0.062 0.674 0.743  0.00
Cu 0.063 0.167 0.000  0.33
Cu 0.563 0.833 0.500  0.33
F 0.071 0.634 0.000  0.00
F 0.561 0.163 0.000  0.03
F 0.062 0.155 0.198  0.02
F 0.562 0.845 0.302  0.02
F 0.061 0.837 0.500  0.03
F 0.571 0.366 0.500  0.00
F 0.562 0.845 0.698  0.02
F 0.062 0.155 0.802  0.02



We find b to be the most stable, with the next structure 22 meV/atom higher.